Material: Cs3CuCl
Method: DFT, meta-GGA SCAN
State: single point on PBEsol structure

Properties
* total magnetic moment: 0.01 μB per formula unit
* symmetry: Pm-3m
* ΔE_f (raw): -0.331 eV per atom

Cell: 6.484 6.484 6.484 Å, 90.00 90.00 90.00°
Atoms (fractional coordinates):
Cs 0.000 0.500 0.000
Cs 0.000 0.000 0.500
Cs 0.500 0.000 0.000
Cu 0.000 0.000 0.000
Cl 0.500 0.500 0.500

Material: YB4Ir4
Method: DFT, meta-GGA SCAN
State: single point on PBEsol structure

Properties
* total magnetic moment: 0.00 μB per formula unit
* symmetry: P4_2/n
* energy of formation from the pure elements: -5.896 eV/f.u.

Cell: 3.969 7.558 7.558 Å, 90.00 90.00 90.00°
Atoms (fractional coordinates):
Y 0.000 0.000 0.000
Y 0.500 0.500 0.500
B 0.888 0.342 0.779
B 0.888 0.658 0.221
B 0.112 0.779 0.658
B 0.112 0.221 0.342
B 0.388 0.279 0.158
B 0.388 0.721 0.842
B 0.612 0.842 0.279
B 0.612 0.158 0.721
Ir 0.887 0.389 0.158
Ir 0.887 0.611 0.842
Ir 0.113 0.842 0.389
Ir 0.113 0.158 0.611
Ir 0.387 0.342 0.889
Ir 0.387 0.658 0.111
Ir 0.613 0.889 0.658
Ir 0.613 0.111 0.342

Material: TaIn2Cl2
Method: DFT, meta-GGA SCAN
State: single point on PBEsol structure

Properties
* total magnetic moment: 2.61 μB per formula unit
* symmetry: I4/mmm
* ΔE_f (raw): 0.498 eV per atom

Cell: 4.061 4.061 7.466 Å, 105.78 105.78 90.00°
Site moments in Bohr magnetons follow the coordinates.
Atoms (fractional coordinates):
Cl 0.250 0.750 0.500  0.03
Cl 0.750 0.250 0.500  0.03
In 0.389 0.389 0.777  -0.02
In 0.611 0.611 0.223  -0.02
Ta 0.000 0.000 0.000  1.60

Material: FeNiTe2
Method: DFT, meta-GGA SCAN
State: single point on PBEsol structure

Properties
* total magnetic moment: 2.26 μB per formula unit
* symmetry: R-3m
* ΔE_f (raw): 0.310 eV per atom
* excess energy over the best structure of this formula in the dataset: 306 meV/atom

Cell: 3.575 3.575 8.120 Å, 77.28 77.28 60.00°
Site moments in Bohr magnetons follow the coordinates.
Atoms (fractional coordinates):
Ni 0.500 0.500 0.500  -0.49
Te 0.896 0.896 0.312  -0.04
Te 0.104 0.104 0.688  -0.04
Fe 0.000 0.000 0.000  2.95

Material: NaTl
Method: DFT, meta-GGA SCAN
State: single point on PBEsol structure

Properties
* total magnetic moment: 0.00 μB per formula unit
* symmetry: Fd-3m
* energy of formation from the pure elements: -0.444 eV/f.u.

Cell: 5.260 5.260 5.260 Å, 60.00 60.00 60.00°
Atoms (fractional coordinates):
Na 0.750 0.750 0.750
Na 0.500 0.500 0.500
Tl 0.250 0.250 0.250
Tl 0.000 0.000 0.000

Material: Ba6Li2Si4ClO15
Method: DFT, meta-GGA SCAN
State: single point on PBEsol structure

Properties
* total magnetic moment: 1.06 μB per formula unit
* symmetry: P6_3/mmc
* ΔE_f (raw): -3.043 eV per atom

Cell: 5.676 5.676 29.459 Å, 90.00 90.00 120.00°
Site moments in Bohr magnetons follow the coordinates.
Atoms (fractional coordinates):
Ba 0.000 0.000 0.500  0.00
Ba 0.000 0.000 0.000  0.00
Ba 0.000 0.000 0.648  0.00
Ba 0.000 0.000 0.852  0.00
Ba 0.000 0.000 0.148  0.00
Ba 0.000 0.000 0.352  0.00
Ba 0.667 0.333 0.585  0.00
Ba 0.667 0.333 0.915  0.00
Ba 0.333 0.667 0.085  0.00
Ba 0.333 0.667 0.415  0.00
Ba 0.333 0.667 0.750  0.00
Ba 0.667 0.333 0.250  0.00
Li 0.333 0.667 0.646  0.00
Li 0.333 0.667 0.854  0.00
Li 0.667 0.333 0.146  0.00
Li 0.667 0.333 0.354  0.00
Si 0.333 0.667 0.556  -0.01
Si 0.333 0.667 0.944  -0.01
Si 0.667 0.333 0.056  -0.01
Si 0.667 0.333 0.444  -0.01
Si 0.667 0.333 0.694  0.00
Si 0.667 0.333 0.806  0.00
Si 0.333 0.667 0.194  0.00
Si 0.333 0.667 0.306  0.00
Cl 0.000 0.000 0.750  0.00
Cl 0.000 0.000 0.250  0.00
O 0.979 0.489 0.674  0.02
O 0.511 0.021 0.674  0.02
O 0.511 0.489 0.674  0.02
O 0.979 0.489 0.826  0.02
O 0.511 0.021 0.826  0.02
O 0.511 0.489 0.826  0.02
O 0.489 0.979 0.174  0.02
O 0.021 0.511 0.174  0.02
O 0.489 0.511 0.174  0.02
O 0.489 0.979 0.326  0.02
O 0.021 0.511 0.326  0.02
O 0.489 0.511 0.326  0.02
O 0.178 0.355 0.576  0.08
O 0.178 0.822 0.576  0.08
O 0.645 0.822 0.576  0.08
O 0.178 0.355 0.924  0.08
O 0.178 0.822 0.924  0.08
O 0.645 0.822 0.924  0.08
O 0.355 0.178 0.076  0.08
O 0.822 0.178 0.076  0.08
O 0.822 0.645 0.076  0.08
O 0.355 0.178 0.424  0.08
O 0.822 0.178 0.424  0.08
O 0.822 0.645 0.424  0.08
O 0.667 0.333 0.750  0.00
O 0.333 0.667 0.250  0.00
O 0.333 0.667 0.501  0.16
O 0.333 0.667 0.999  0.16
O 0.667 0.333 0.001  0.16
O 0.667 0.333 0.499  0.16

Material: CdAgPt3
Method: DFT, meta-GGA SCAN
State: single point on PBEsol structure

Properties
* total magnetic moment: 0.00 μB per formula unit
* symmetry: Pm-3m
* energy of formation from the pure elements: 6.747 eV/f.u.

Cell: 4.791 4.791 4.791 Å, 90.00 90.00 90.00°
Atoms (fractional coordinates):
Ag 0.000 0.000 0.000
Pt 0.000 0.500 0.000
Pt 0.000 0.000 0.500
Pt 0.500 0.000 0.000
Cd 0.500 0.500 0.500

Material: CrCu2Te
Method: DFT, meta-GGA SCAN
State: single point on PBEsol structure

Properties
* total magnetic moment: 4.04 μB per formula unit
* symmetry: P4/mmm
* ΔE_f (raw): 0.186 eV per atom

Cell: 3.460 3.458 5.229 Å, 90.00 90.00 90.00°
Site moments in Bohr magnetons follow the coordinates.
Atoms (fractional coordinates):
Cr 0.500 0.500 0.500  3.66
Cu 0.000 0.000 0.733  0.06
Cu 0.000 0.000 0.267  0.06
Te 0.500 0.500 0.000  -0.09

Material: Na2AgSb2
Method: DFT, meta-GGA SCAN
State: single point on PBEsol structure

Properties
* total magnetic moment: 0.00 μB per formula unit
* symmetry: P4/mbm
* ΔE_f (raw): -0.316 eV per atom

Cell: 5.037 7.200 7.200 Å, 90.00 90.00 90.00°
Atoms (fractional coordinates):
Sb 0.000 0.357 0.857
Sb 0.000 0.857 0.643
Sb 0.000 0.643 0.143
Sb 0.000 0.143 0.357
Ag 0.000 0.000 0.000
Ag 0.000 0.500 0.500
Na 0.500 0.167 0.667
Na 0.500 0.667 0.833
Na 0.500 0.833 0.333
Na 0.500 0.333 0.167

Material: KTl2In2
Method: DFT, meta-GGA SCAN
State: single point on PBEsol structure

Properties
* total magnetic moment: 0.00 μB per formula unit
* symmetry: P4/mbm
* energy of formation from the pure elements: -0.422 eV/f.u.
* excess energy over the best structure of this formula in the dataset: 78 meV/atom

Cell: 3.462 9.182 9.182 Å, 90.00 90.00 90.00°
Atoms (fractional coordinates):
Tl 0.000 0.355 0.855
Tl 0.000 0.855 0.645
Tl 0.000 0.645 0.145
Tl 0.000 0.145 0.355
K 0.000 0.000 0.000
K 0.000 0.500 0.500
In 0.500 0.147 0.647
In 0.500 0.647 0.853
In 0.500 0.853 0.353
In 0.500 0.353 0.147

Material: Sr2SeS
Method: DFT, meta-GGA SCAN
State: single point on PBEsol structure

Properties
* total magnetic moment: 0.00 μB per formula unit
* symmetry: R-3m
* ΔE_f (raw): -2.387 eV per atom
* excess energy over the best structure of this formula in the dataset: 0 meV/atom

Cell: 4.304 4.304 7.463 Å, 73.24 73.24 60.00°
Atoms (fractional coordinates):
Sr 0.247 0.247 0.259
Sr 0.753 0.753 0.741
S 0.500 0.500 0.500
Se 0.000 0.000 0.000

Material: Zr2InCl
Method: DFT, meta-GGA SCAN
State: single point on PBEsol structure

Properties
* total magnetic moment: 0.00 μB per formula unit
* symmetry: Amm2
* ΔE_f (raw): -0.636 eV per atom
* excess energy over the best structure of this formula in the dataset: 0 meV/atom

Cell: 3.163 4.887 5.744 Å, 90.00 105.98 90.00°
Atoms (fractional coordinates):
Cl 0.251 0.000 0.502
Zr 0.936 0.000 0.872
Zr 0.273 0.500 0.546
In 0.535 0.500 0.070

Material: RbAuBr4
Method: DFT, meta-GGA SCAN
State: single point on PBEsol structure

Properties
* total magnetic moment: 0.00 μB per formula unit
* symmetry: P2_1/c
* ΔE_f (raw): -0.848 eV per atom

Cell: 6.147 7.358 8.904 Å, 101.14 90.00 90.00°
Atoms (fractional coordinates):
Rb 0.000 0.000 0.500
Rb 0.500 0.500 0.000
Au 0.500 0.500 0.500
Au 0.000 0.000 0.000
Br 0.209 0.368 0.325
Br 0.709 0.132 0.175
Br 0.791 0.632 0.675
Br 0.291 0.868 0.825
Br 0.985 0.268 0.877
Br 0.485 0.232 0.623
Br 0.015 0.732 0.123
Br 0.515 0.768 0.377

Material: MgRePt2Pb
Method: DFT, meta-GGA SCAN
State: single point on PBEsol structure

Properties
* total magnetic moment: 1.20 μB per formula unit
* symmetry: P4/mmm
* energy of formation from the pure elements: 6.724 eV/f.u.

Cell: 4.551 4.551 4.719 Å, 90.00 90.00 90.00°
Site moments in Bohr magnetons follow the coordinates.
Atoms (fractional coordinates):
Pb 0.500 0.500 0.500  -0.03
Re 0.000 0.000 0.500  1.00
Mg 0.000 0.000 0.000  -0.01
Pt 0.000 0.500 0.000  0.01
Pt 0.500 0.000 0.000  0.01

Material: Hf2Ga2W
Method: DFT, meta-GGA SCAN
State: single point on PBEsol structure

Properties
* total magnetic moment: 0.00 μB per formula unit
* symmetry: P4/mbm
* energy of formation from the pure elements: -2.112 eV/f.u.

Cell: 3.628 6.860 6.860 Å, 90.00 90.00 90.00°
Atoms (fractional coordinates):
Hf 0.500 0.179 0.679
Hf 0.500 0.679 0.821
Hf 0.500 0.821 0.321
Hf 0.500 0.321 0.179
Ga 0.000 0.374 0.874
Ga 0.000 0.874 0.626
Ga 0.000 0.626 0.126
Ga 0.000 0.126 0.374
W 0.000 0.000 0.000
W 0.000 0.500 0.500

Material: Ba2MoPtBr
Method: DFT, meta-GGA SCAN
State: single point on PBEsol structure

Properties
* total magnetic moment: 2.52 μB per formula unit
* symmetry: P4/mmm
* ΔE_f (raw): 0.369 eV per atom

Cell: 4.610 6.007 6.007 Å, 90.00 90.00 90.00°
Site moments in Bohr magnetons follow the coordinates.
Atoms (fractional coordinates):
Mo 0.500 0.000 0.000  2.21
Br 0.000 0.000 0.000  0.00
Ba 0.000 0.000 0.500  -0.02
Ba 0.000 0.500 0.000  -0.02
Pt 0.500 0.500 0.500  0.22

Material: TbAlAu
Method: DFT, meta-GGA SCAN
State: single point on PBEsol structure

Properties
* total magnetic moment: 0.00 μB per formula unit
* symmetry: Pnma
* energy of formation from the pure elements: -3.157 eV/f.u.

Cell: 4.430 7.161 7.673 Å, 90.00 90.00 90.00°
Atoms (fractional coordinates):
Tb 0.750 0.991 0.306
Tb 0.750 0.491 0.194
Tb 0.250 0.009 0.694
Tb 0.250 0.509 0.806
Au 0.750 0.711 0.596
Au 0.750 0.211 0.904
Au 0.250 0.289 0.404
Au 0.250 0.789 0.096
Al 0.750 0.829 0.922
Al 0.750 0.329 0.578
Al 0.250 0.171 0.078
Al 0.250 0.671 0.422

Material: Sr2TiFeO6
Method: DFT, meta-GGA SCAN
State: single point on PBEsol structure

Properties
* total magnetic moment: 3.76 μB per formula unit
* symmetry: P4/mmm
* ΔE_f (raw): -2.880 eV per atom

Cell: 3.871 3.871 7.596 Å, 90.00 90.00 90.00°
Site moments in Bohr magnetons follow the coordinates.
Atoms (fractional coordinates):
Sr 0.000 0.000 0.259  0.00
Sr 0.000 0.000 0.741  0.00
Ti 0.500 0.500 0.000  0.01
Fe 0.500 0.500 0.500  3.25
O 0.500 0.500 0.257  0.07
O 0.500 0.500 0.743  0.07
O 0.500 0.000 0.000  0.01
O 0.000 0.500 0.000  0.01
O 0.500 0.000 0.500  0.11
O 0.000 0.500 0.500  0.11

Material: GaGeNF2
Method: DFT, meta-GGA SCAN
State: single point on PBEsol structure

Properties
* total magnetic moment: 0.00 μB per formula unit
* symmetry: P4/mmm
* ΔE_f (raw): -0.803 eV per atom

Cell: 3.452 4.253 4.253 Å, 90.00 90.00 90.00°
Atoms (fractional coordinates):
Ge 0.000 0.000 0.000
N 0.500 0.000 0.000
Ga 0.500 0.500 0.500
F 0.000 0.000 0.500
F 0.000 0.500 0.000

Material: ZrTeH3
Method: DFT, meta-GGA SCAN
State: single point on PBEsol structure

Properties
* total energy: -78.5 eV/cell
* total magnetic moment: 0.00 μB per formula unit
* symmetry: Pm-3m

Cell: 3.865 3.865 3.865 Å, 90.00 90.00 90.00°
Atoms (fractional coordinates):
H 0.000 0.500 0.000
H 0.000 0.000 0.500
H 0.500 0.000 0.000
Te 0.500 0.500 0.500
Zr 0.000 0.000 0.000

Material: EuEr
Method: DFT, meta-GGA SCAN
State: single point on PBEsol structure

Properties
* total magnetic moment: 7.99 μB per formula unit
* symmetry: P-6m2
* energy of formation from the pure elements: 0.190 eV/f.u.

Cell: 3.561 3.561 5.820 Å, 90.00 90.00 120.00°
Site moments in Bohr magnetons follow the coordinates.
Atoms (fractional coordinates):
Eu 0.000 0.000 0.000  7.08
Er 0.667 0.333 0.500  0.31

no.,Fermi-level density of states (states/eV/cell)
1,4.24
2,3.92
3,4.48
4,3.43
5,0.78
6,30.24
7,3.22
8,1.64
9,2.79
10,4.18
11,0.00
12,1.26
13,0.00
14,4.28
15,5.23
16,3.38
17,6.14
18,0.96
19,0.19
20,2.10
21,2.80